Entry 1:
# Ta3Os3Rh | the Alexandria database | PBE-GGA | optimized geometry
data_Ta3Os3Rh
_cell_length_a 6.149
_cell_length_b 6.149
_cell_length_c 6.324
_cell_angle_alpha 90.00
_cell_angle_beta 90.00
_cell_angle_gamma 90.15
_space_group_name_H-M_alt 'P 1'
_space_group_IT_number 1
loop_
_space_group_symop_operation_xyz
'x,y,z'
loop_
_atom_site_label
_atom_site_fract_x
_atom_site_fract_y
_atom_site_fract_z
_atom_site_occupancy
Ta1 0.000 0.000 0.749 1
Ta2 0.500 0.000 0.252 1
Ta3 0.000 0.500 0.252 1
Ta4 0.500 0.000 0.748 1
Ta5 0.000 0.500 0.748 1
Ta6 0.000 0.000 0.251 1
Os1 0.257 0.257 0.500 1
Os2 0.258 0.742 0.500 1
Os3 0.742 0.258 0.500 1
Os4 0.255 0.745 0.000 1
Os5 0.745 0.255 0.000 1
Os6 0.743 0.743 0.500 1
Rh1 0.268 0.268 0.000 1
Rh2 0.732 0.732 0.000 1
# M_tot: 0.0 μB per formula unit
# energy of formation from the pure elements: -117.7 meV per atom

***

Entry 2:
# TaOs4Rh | the Alexandria database | PBE-GGA | optimized geometry
data_TaOs4Rh
_cell_length_a 5.122
_cell_length_b 5.122
_cell_length_c 5.122
_cell_angle_alpha 60.00
_cell_angle_beta 60.00
_cell_angle_gamma 60.00
_space_group_name_H-M_alt 'P 1'
_space_group_IT_number 1
loop_
_space_group_symop_operation_xyz
'x,y,z'
loop_
_atom_site_label
_atom_site_fract_x
_atom_site_fract_y
_atom_site_fract_z
_atom_site_occupancy
Ta1 0.000 0.000 0.000 1
Os1 0.624 0.624 0.128 1
Os2 0.624 0.128 0.624 1
Os3 0.624 0.624 0.624 1
Os4 0.128 0.624 0.624 1
Rh1 0.250 0.250 0.250 1
# M_tot: 0.0 μB per formula unit
# energy of formation from the pure elements: 303.2 meV per atom

***

Entry 3:
# TaOs2Rh | the Alexandria database | PBE-GGA | optimized geometry
data_TaOs2Rh
_cell_length_a 4.802
_cell_length_b 4.802
_cell_length_c 4.785
_cell_angle_alpha 80.12
_cell_angle_beta 80.12
_cell_angle_gamma 34.09
_space_group_name_H-M_alt 'P 1'
_space_group_IT_number 1
loop_
_space_group_symop_operation_xyz
'x,y,z'
loop_
_atom_site_label
_atom_site_fract_x
_atom_site_fract_y
_atom_site_fract_z
_atom_site_occupancy
Ta1 0.749 0.749 0.740 1
Os1 0.996 0.996 0.027 1
Os2 0.254 0.254 0.231 1
Rh1 0.502 0.502 0.501 1
# M_tot: 0.0 μB per formula unit
# energy of formation from the pure elements: -136.9 meV per atom
# polymorph energy (0 for the lowest one): 147 meV/atom

***

Entry 4:
# Ta2OsRh | the Alexandria database | PBE-GGA | optimized geometry
data_Ta2OsRh
_cell_length_a 3.260
_cell_length_b 3.260
_cell_length_c 6.203
_cell_angle_alpha 90.00
_cell_angle_beta 90.00
_cell_angle_gamma 90.00
_space_group_name_H-M_alt 'P 1'
_space_group_IT_number 1
loop_
_space_group_symop_operation_xyz
'x,y,z'
loop_
_atom_site_label
_atom_site_fract_x
_atom_site_fract_y
_atom_site_fract_z
_atom_site_occupancy
Ta1 0.000 0.000 0.978 1
Ta2 0.500 0.500 0.268 1
Os1 0.000 0.000 0.480 1
Rh1 0.500 0.500 0.774 1
# M_tot: 0.0 μB per formula unit
# energy of formation from the pure elements: -192.9 meV per atom